Entry 1:
# Cs2SrBr6F GGA-PBE relaxed
data_Cs2SrBr6F
_cell_length_a 7.7812
_cell_length_b 7.7812
_cell_length_c 13.1206
_cell_angle_alpha 90.00
_cell_angle_beta 90.00
_cell_angle_gamma 90.00
_space_group_name_H-M_alt 'I 4/m m m'
_space_group_IT_number 139
_space_group_name_Hall '-I 4 2'
loop_
_atom_site_label
_atom_site_type_symbol
_atom_site_fract_x
_atom_site_fract_y
_atom_site_fract_z
Cs1 Cs 0.0000 0.5000 0.2500
Sr1 Sr 0.0000 0.0000 0.0000
Br1 Br 0.0000 0.0000 0.2265
Br2 Br 0.2264 0.2264 0.5000
F1 F 0.0000 0.0000 0.5000
# **DOS at the Fermi energy**: 1.261 states/eV per atom
# **Electronic total energy**: -54.020 eV/cell
# **Raw formation energy**: -113 kJ/mol of atoms
# **Calculated volume**: 39.7 Å³ per atom

Entry 2:
# Cs2TaBr2F4 GGA-PBE relaxed
data_Cs2TaBr2F4
_cell_length_a 14.1732
_cell_length_b 6.5792
_cell_length_c 5.5610
_cell_angle_alpha 90.00
_cell_angle_beta 92.14
_cell_angle_gamma 90.00
_space_group_name_H-M_alt 'C 1 2/m 1'
_space_group_IT_number 12
_space_group_name_Hall '-C 2y'
loop_
_atom_site_label
_atom_site_type_symbol
_atom_site_fract_x
_atom_site_fract_y
_atom_site_fract_z
Cs1 Cs 0.1357 0.0000 0.1026
Ta1 Ta 0.0000 0.5000 0.5000
Br1 Br 0.1784 0.5000 0.3806
F1 F 0.0290 0.2758 0.7290
# **DOS at the Fermi energy**: 0.242 states/eV per atom
# **Electronic total energy**: -93.044 eV/cell
# **Raw formation energy**: -237 kJ/mol of atoms
# **Calculated volume**: 28.8 Å³ per atom

Entry 3:
# Cs2TaBr4F2 GGA-PBE relaxed
data_Cs2TaBr4F2
_cell_length_a 12.4365
_cell_length_b 7.9692
_cell_length_c 6.2252
_cell_angle_alpha 90.00
_cell_angle_beta 102.01
_cell_angle_gamma 90.00
_space_group_name_H-M_alt 'C 1 2/m 1'
_space_group_IT_number 12
_space_group_name_Hall '-C 2y'
loop_
_atom_site_label
_atom_site_type_symbol
_atom_site_fract_x
_atom_site_fract_y
_atom_site_fract_z
Cs1 Cs 0.1696 0.0000 0.3245
Ta1 Ta 0.0000 0.5000 0.0000
Br1 Br 0.0937 0.2635 0.8096
F1 F 0.1249 0.5000 0.2430
# **Electronic total energy**: -82.601 eV/cell
# **Raw formation energy**: -186 kJ/mol of atoms
# **Calculated volume**: 33.5 Å³ per atom

Entry 4:
# Cs2TcBr5F GGA-PBE relaxed
data_Cs2TcBr5F
_cell_length_a 7.7429
_cell_length_b 7.7429
_cell_length_c 10.9237
_cell_angle_alpha 90.00
_cell_angle_beta 90.00
_cell_angle_gamma 90.00
_space_group_name_H-M_alt 'I 4 m m'
_space_group_IT_number 107
_space_group_name_Hall 'I 4 -2'
loop_
_atom_site_label
_atom_site_type_symbol
_atom_site_fract_x
_atom_site_fract_y
_atom_site_fract_z
Cs1 Cs 0.0000 0.5000 0.0000
Tc1 Tc 0.0000 0.0000 0.2516
Br1 Br 0.0000 0.0000 0.4833
Br2 Br 0.2325 0.2325 0.2488
F1 F 0.0000 0.0000 0.0718
# **Electronic total energy**: -68.619 eV/cell
# **Raw formation energy**: -129 kJ/mol of atoms
# **Calculated volume**: 36.4 Å³ per atom

Question: Which of these has the lowest calculated volume?
Answer: Cs2TaBr2F4

Question: Which of these has the highest calculated volume?
Answer: Cs2SrBr6F

Question: The lowest electronic total energy belongs to which entry?
Answer: Cs2TaBr2F4